{
  "formula": "CaScGaRe2",
  "functional": "GGA-PBE",
  "state": "optimized geometry",
  "lattice": [[-1.2793, -1.9172, -4.0905], [4.4349, -2.9401, -0.0090], [-2.2569, -3.4115, 2.3048]],
  "species": ["Sc", "Re", "Re", "Ca", "Ga"],
  "frac_coords": [[0.0000, 0.0000, 0.0000], [0.0000, 0.0000, 0.5000], [0.5000, 0.0000, 0.0000], [0.0000, 0.5000, 0.0000], [0.5000, 0.5000, 0.5000]],
  "dft_energy_ev_per_atom": -5.462,
  "e_form_ev_per_atom": 1.79,
  "density_g_cm3": 7.5,
  "sg": "P4/mmm, No. 123"
}

***

{
  "formula": "La3YIn",
  "functional": "GGA-PBE",
  "state": "optimized geometry",
  "lattice": [[7.2158, 0.1863, 0.1393], [0.6152, 9.8966, -0.6135], [0.6152, 2.2074, 9.6667]],
  "species": ["La", "La", "La", "La", "La", "La", "La", "La", "La", "La", "La", "La", "Y", "Y", "Y", "Y", "In", "In", "In", "In"],
  "frac_coords": [[0.5290, 0.8903, 0.9106], [0.9710, 0.0894, 0.1097], [0.4710, 0.1097, 0.0894], [0.0290, 0.9106, 0.8903], [0.6991, 0.4183, 0.1009], [0.8009, 0.8991, 0.5817], [0.3009, 0.5817, 0.8991], [0.1991, 0.1009, 0.4183], [0.5828, 0.5700, 0.6063], [0.9172, 0.3937, 0.4300], [0.4172, 0.4300, 0.3937], [0.0828, 0.6063, 0.5700], [0.2500, 0.7728, 0.2272], [0.7500, 0.2272, 0.7728], [0.2500, 0.2468, 0.7532], [0.7500, 0.7532, 0.2468], [0.8280, 0.6330, 0.8485], [0.6720, 0.1515, 0.3670], [0.1720, 0.3670, 0.1515], [0.3280, 0.8485, 0.6330]],
  "dft_energy_ev_per_atom": -4.808,
  "e_form_ev_per_atom": -0.01,
  "density_g_cm3": 5.9,
  "relative_energy_mev_per_atom": 189,
  "sg": "C2/c, No. 15"
}

***

{
  "formula": "ThTaFe4",
  "functional": "GGA-PBE",
  "state": "optimized geometry",
  "lattice": [[-1.2719, -4.2308, -2.4102], [3.5807, -3.0536, -1.7834], [0.8043, -4.4699, 2.1678]],
  "species": ["Fe", "Fe", "Fe", "Fe", "Th", "Ta"],
  "frac_coords": [[0.6261, 0.6261, 0.1217], [0.6261, 0.1217, 0.6261], [0.6261, 0.6261, 0.6261], [0.1217, 0.6261, 0.6261], [0.2500, 0.2500, 0.2500], [0.0000, 0.0000, 0.0000]],
  "dft_energy_ev_per_atom": -8.803,
  "e_form_ev_per_atom": 0.05,
  "density_g_cm3": 11.7,
  "sg": "F-43m, No. 216"
}

***

{
  "formula": "K2NpTlO5",
  "functional": "GGA-PBE",
  "state": "optimized geometry",
  "lattice": [[-2.4698, -3.5091, -0.6867], [4.4726, -3.6692, 2.6630], [-3.6734, 4.3786, 4.5874]],
  "species": ["K", "K", "Np", "Tl", "O", "O", "O", "O", "O"],
  "frac_coords": [[0.2266, 0.2266, 0.4531], [0.7734, 0.7734, 0.5469], [0.5000, 0.0000, 0.0000], [0.0000, 0.5000, 0.0000], [0.6133, 0.8981, 0.2267], [0.3867, 0.1019, 0.7733], [0.3867, 0.6714, 0.7733], [0.6133, 0.3286, 0.2267], [0.0000, 0.0000, 0.0000]],
  "dft_energy_ev_per_atom": -6.758,
  "e_form_raw_ev_per_atom": -2.059,
  "density_g_cm3": 5.8,
  "sg": "Immm, No. 71"
}

***

{
  "formula": "Hf2TaF2",
  "functional": "GGA-PBE",
  "state": "optimized geometry",
  "lattice": [[8.0610, 0.0000, 0.0000], [0.0000, 8.0610, 0.0000], [0.0000, 0.0000, 2.8725]],
  "species": ["F", "F", "F", "F", "Hf", "Hf", "Hf", "Hf", "Ta", "Ta"],
  "frac_coords": [[0.1005, 0.6005, 0.5000], [0.6005, 0.8995, 0.5000], [0.8995, 0.3995, 0.5000], [0.3995, 0.1005, 0.5000], [0.2382, 0.7382, 0.0000], [0.7382, 0.7618, 0.0000], [0.7618, 0.2618, 0.0000], [0.2618, 0.2382, 0.0000], [0.0000, 0.0000, 0.0000], [0.5000, 0.5000, 0.0000]],
  "dft_energy_ev_per_atom": -7.881,
  "e_form_raw_ev_per_atom": -0.780,
  "density_g_cm3": 10.2,
  "relative_energy_mev_per_atom": 853,
  "sg": "P4/mbm, No. 127"
}

***

{
  "formula": "MgZrPb3",
  "functional": "GGA-PBE",
  "state": "optimized geometry",
  "lattice": [[-5.2918, 0.4474, -0.7994], [-0.6910, -5.0261, 1.7616], [-0.6014, 1.8386, 5.0100]],
  "species": ["Pb", "Pb", "Pb", "Mg", "Zr"],
  "frac_coords": [[0.0000, 0.5000, 0.0000], [0.0000, 0.0000, 0.5000], [0.5000, 0.0000, 0.0000], [0.0000, 0.0000, 0.0000], [0.5000, 0.5000, 0.5000]],
  "dft_energy_ev_per_atom": -3.524,
  "e_form_ev_per_atom": 0.73,
  "density_g_cm3": 7.9,
  "relative_energy_mev_per_atom": 350,
  "sg": "Pm-3m, No. 221"
}